No. 1
YHgAu2 at its PBEsol-relaxed geometry, computed with SCAN.

Summary:
Space group: P4mm
Density of states at the Fermi level (states/eV/atom): 0.398
Crystal system: tetragonal
Calculated formation energy (meV/atom): -622.3

Cell lengths 3.5586, 3.5586, 6.4659 Å; angles 90.00, 90.00, 90.00 degrees
Last column: nearest neighbours and their distance in Å.
Element x y z (fractional)
Y: 0.0000 0.0000 0.0000  5 Au 2.96-3.05, 4 Hg 3.17
Hg: 0.5000 0.5000 0.7018  5 Au 2.92-2.98, 4 Y 3.17
Au: 0.0000 0.0000 0.4722  4 Hg 2.92, 4 Au 2.93, 1 Y 3.05
Au: 0.5000 0.5000 0.2402  4 Au 2.93, 4 Y 2.96, 1 Hg 2.98

=====

No. 2
TaCr2Te at its PBEsol-relaxed geometry, computed with SCAN.

Summary:
Space group: R-3m
Density of states at the Fermi level (states/eV/atom): 0.865
Formation energy from raw total energies (eV per atom): 0.485
Crystal system: trigonal

Cell lengths 7.9519, 7.9519, 7.9519 Å; angles 22.36, 22.36, 22.36 degrees
Last column: nearest neighbours and their distance in Å.
Element x y z (fractional)
Ta: 0.0000 0.0000 0.0000  6 Cr 2.59
Cr: 0.2524 0.2524 0.2524  3 Ta 2.59, 3 Te 2.67
Cr: 0.7476 0.7476 0.7476  3 Ta 2.59, 3 Te 2.67
Te: 0.5000 0.5000 0.5000  6 Cr 2.67

=====

No. 3
Li3Mg at its PBEsol-relaxed geometry, computed with SCAN.

Summary:
Space group: Immm
Density of states at the Fermi level (states/eV/atom): 0.463
Crystal system: orthorhombic
Calculated formation energy (meV/atom): -24.1

Cell lengths 5.6101, 5.6101, 5.6101 Å; angles 144.24, 129.49, 63.42 degrees
Last column: nearest neighbours and their distance in Å.
Element x y z (fractional)
Li: 0.0000 0.0000 0.0000  4 Li 2.88, 4 Mg 2.95
Li: 0.2413 0.7413 0.5000  6 Li 2.88-2.95, 2 Mg 3.01
Li: 0.7587 0.2587 0.5000  6 Li 2.88-2.95, 2 Mg 3.01
Mg: 0.5000 0.5000 0.0000  8 Li 2.95-3.01

=====

No. 4
Ta2TiNbRe at its PBEsol-relaxed geometry, computed with SCAN.

Summary:
Space group: P4/mmm
Density of states at the Fermi level (states/eV/atom): 1.107
Crystal system: tetragonal
Calculated formation energy (meV/atom): 1709.1

Cell lengths 4.6169, 4.6169, 4.3524 Å; angles 90.00, 90.00, 90.00 degrees
Last column: nearest neighbours and their distance in Å.
Element x y z (fractional)
Ta: 0.0000 0.5000 0.0000  2 Ti 2.31
Ta: 0.5000 0.0000 0.0000  2 Ti 2.31
Ti: 0.0000 0.0000 0.0000  2 Nb 2.18, 4 Ta 2.31
Nb: 0.0000 0.0000 0.5000  2 Ti 2.18
Re: 0.5000 0.5000 0.5000  8 Ta 3.17, 4 Nb 3.26

=====

No. 5
ZrMnSb2 at its PBEsol-relaxed geometry, computed with SCAN.

Summary:
Space group: Cmmm
Density of states at the Fermi level (states/eV/atom): 0.765
Formation energy from raw total energies (eV per atom): -0.167
Crystal system: orthorhombic

Cell lengths 3.3637, 3.3637, 7.0717 Å; angles 90.00, 90.00, 100.40 degrees
Last column: nearest neighbours and their distance in Å.
Element x y z (fractional)
Zr: 0.0000 0.0000 0.0000  8 Sb 2.91-3.24
Mn: 0.0000 0.0000 0.5000  4 Sb 2.67
Sb: 0.5000 0.5000 0.2774  2 Mn 2.67, 2 Zr 2.91
Sb: 0.5000 0.5000 0.7226  2 Mn 2.67, 2 Zr 2.91

=====

No. 6
Mg30AlFeO32 at its PBEsol-relaxed geometry, computed with SCAN.

Summary:
Space group: P4/mmm
Density of states at the Fermi level (states/eV/atom): 0.053
Formation energy from raw total energies (eV per atom): -2.938
Crystal system: tetragonal

Cell lengths 8.4194, 8.4194, 8.4615 Å; angles 90.00, 90.00, 90.00 degrees
Last column: nearest neighbours and their distance in Å.
Element x y z (fractional)
Mg: 0.0000 0.0000 0.0000  6 O 2.10-2.13
Mg: 0.0000 0.0000 0.5000  6 O 2.11-2.12
Mg: 0.0000 0.2505 0.2493  6 O 2.10-2.12
Mg: 0.0000 0.2505 0.7507  6 O 2.10-2.12
Mg: 0.0000 0.5000 0.0000  6 O 2.04-2.14
Mg: 0.0000 0.5000 0.5000  6 O 2.09-2.20
Mg: 0.0000 0.7495 0.2493  6 O 2.10-2.12
Mg: 0.0000 0.7495 0.7507  6 O 2.10-2.12
Mg: 0.2500 0.2500 0.5000  6 O 2.11
Mg: 0.2500 0.7500 0.5000  6 O 2.11
Mg: 0.2505 0.0000 0.2493  6 O 2.10-2.12
Mg: 0.2505 0.0000 0.7507  6 O 2.10-2.12
Mg: 0.2509 0.2509 0.0000  6 O 2.10-2.12
Mg: 0.2509 0.7491 0.0000  6 O 2.10-2.12
Mg: 0.2527 0.5000 0.2465  6 O 2.09-2.15
Mg: 0.2527 0.5000 0.7535  6 O 2.09-2.15
Mg: 0.5000 0.0000 0.0000  6 O 2.04-2.14
Mg: 0.5000 0.0000 0.5000  6 O 2.09-2.20
Mg: 0.5000 0.2527 0.2465  6 O 2.09-2.15
Mg: 0.5000 0.2527 0.7535  6 O 2.09-2.15
Mg: 0.5000 0.7473 0.2465  6 O 2.09-2.15
Mg: 0.5000 0.7473 0.7535  6 O 2.09-2.15
Mg: 0.7473 0.5000 0.2465  6 O 2.09-2.15
Mg: 0.7473 0.5000 0.7535  6 O 2.09-2.15
Mg: 0.7495 0.0000 0.2493  6 O 2.10-2.12
Mg: 0.7495 0.0000 0.7507  6 O 2.10-2.12
Mg: 0.7491 0.2509 0.0000  6 O 2.10-2.12
Mg: 0.7491 0.7491 0.0000  6 O 2.10-2.12
Mg: 0.7500 0.2500 0.5000  6 O 2.11
Mg: 0.7500 0.7500 0.5000  6 O 2.11
Al: 0.5000 0.5000 0.5000  6 O 1.86-2.01
Fe: 0.5000 0.5000 0.0000  6 O 2.17-2.37
O: 0.0000 0.0000 0.2512  6 Mg 2.11-2.13
O: 0.0000 0.0000 0.7488  6 Mg 2.11-2.13
O: 0.0000 0.2494 0.0000  6 Mg 2.10-2.11
O: 0.0000 0.2515 0.5000  6 Mg 2.09-2.12
O: 0.0000 0.5000 0.2534  6 Mg 2.09-2.14
O: 0.0000 0.5000 0.7466  6 Mg 2.09-2.14
O: 0.0000 0.7485 0.5000  6 Mg 2.09-2.12
O: 0.0000 0.7506 0.0000  6 Mg 2.10-2.11
O: 0.2427 0.5000 0.0000  5 Mg 2.04-2.10, 1 Fe 2.17
O: 0.2494 0.0000 0.0000  6 Mg 2.10-2.11
O: 0.2504 0.2504 0.2503  6 Mg 2.10-2.12
O: 0.2504 0.2504 0.7497  6 Mg 2.10-2.12
O: 0.2504 0.7496 0.2503  6 Mg 2.10-2.12
O: 0.2504 0.7496 0.7497  6 Mg 2.10-2.12
O: 0.2515 0.0000 0.5000  6 Mg 2.09-2.12
O: 0.2611 0.5000 0.5000  1 Al 2.01, 5 Mg 2.11-2.20
O: 0.5000 0.0000 0.2534  6 Mg 2.09-2.14
O: 0.5000 0.0000 0.7466  6 Mg 2.09-2.14
O: 0.5000 0.2427 0.0000  5 Mg 2.04-2.10, 1 Fe 2.17
O: 0.5000 0.2611 0.5000  1 Al 2.01, 5 Mg 2.11-2.20
O: 0.5000 0.5000 0.2806  1 Al 1.86
O: 0.5000 0.5000 0.7194  1 Al 1.86
O: 0.5000 0.7389 0.5000  1 Al 2.01, 5 Mg 2.11-2.20
O: 0.5000 0.7573 0.0000  5 Mg 2.04-2.10, 1 Fe 2.17
O: 0.7389 0.5000 0.5000  1 Al 2.01, 5 Mg 2.11-2.20
O: 0.7485 0.0000 0.5000  6 Mg 2.09-2.12
O: 0.7496 0.2504 0.2503  6 Mg 2.10-2.12
O: 0.7496 0.2504 0.7497  6 Mg 2.10-2.12
O: 0.7496 0.7496 0.2503  6 Mg 2.10-2.12
O: 0.7496 0.7496 0.7497  6 Mg 2.10-2.12
O: 0.7506 0.0000 0.0000  6 Mg 2.10-2.11
O: 0.7573 0.5000 0.0000  5 Mg 2.04-2.10, 1 Fe 2.17

=====

No. 7
BeTcSb2 at its PBEsol-relaxed geometry, computed with SCAN.

Summary:
Space group: Immm
Density of states at the Fermi level (states/eV/atom): 0.734
Formation energy from raw total energies (eV per atom): 0.512
Crystal system: orthorhombic

Cell lengths 4.9435, 4.9435, 4.9435 Å; angles 137.14, 120.95, 75.68 degrees
Last column: nearest neighbours and their distance in Å.
Element x y z (fractional)
Be: 0.0000 0.0000 0.0000  4 Sb 2.50
Tc: 0.5000 0.5000 0.0000  8 Sb 2.83-2.98, 4 Be 3.03
Sb: 0.2207 0.7207 0.5000  2 Be 2.50
Sb: 0.7793 0.2793 0.5000  2 Be 2.50

=====

No. 8
CaGeO2 at its PBEsol-relaxed geometry, computed with SCAN.

Summary:
Space group: I-42d
Formation energy from raw total energies (eV per atom): -1.754
Crystal system: tetragonal

Cell lengths 6.4881, 6.4881, 6.4881 Å; angles 134.94, 134.94, 65.62 degrees
Last column: nearest neighbours and their distance in Å.
Element x y z (fractional)
Ca: 0.0000 0.0000 0.0000  4 O 2.26
Ca: 0.7500 0.2500 0.5000  4 O 2.26
Ge: 0.2500 0.7500 0.5000  4 O 2.19
Ge: 0.5000 0.5000 0.0000  4 O 2.19
O: 0.1367 0.6250 0.0117  2 Ge 2.19, 2 Ca 2.26
O: 0.3750 0.3867 0.5117  2 Ge 2.19, 2 Ca 2.26
O: 0.6133 0.1250 0.9883  2 Ge 2.19, 2 Ca 2.26
O: 0.8750 0.8633 0.4883  2 Ge 2.19, 2 Ca 2.26

=====

No. 9
Ti3TeH at its PBEsol-relaxed geometry, computed with SCAN.

Summary:
Space group: Pm-3m
Density of states at the Fermi level (states/eV/atom): 0.899
Crystal system: cubic

Cell lengths 4.0833, 4.0833, 4.0833 Å; angles 90.00, 90.00, 90.00 degrees
Last column: nearest neighbours and their distance in Å.
Element x y z (fractional)
Ti: 0.0000 0.0000 0.5000  2 H 2.04
Ti: 0.0000 0.5000 0.0000  2 H 2.04
Ti: 0.5000 0.0000 0.0000  2 H 2.04
Te: 0.5000 0.5000 0.5000  12 Ti 2.89
H: 0.0000 0.0000 0.0000  6 Ti 2.04

=====

No. 10
YCd2Br at its PBEsol-relaxed geometry, computed with SCAN.

Summary:
Space group: I4/mmm
Density of states at the Fermi level (states/eV/atom): 0.493
Formation energy from raw total energies (eV per atom): -0.492
Crystal system: tetragonal

Cell lengths 6.3378, 6.3378, 6.3378 Å; angles 142.45, 142.45, 54.15 degrees
Last column: nearest neighbours and their distance in Å.
Element x y z (fractional)
Y: 0.0000 0.0000 0.0000  4 Br 2.88
Cd: 0.2500 0.7500 0.5000  4 Cd 2.88
Cd: 0.7500 0.2500 0.5000  4 Cd 2.88
Br: 0.5000 0.5000 0.0000  4 Y 2.88

=====

| no. | volume (Å³/cell) | E_tot (eV per formula unit) |
| --- | --- | --- |
| 1 | 82 | -236.8 |
| 2 | 64 | -138.7 |
| 3 | 79 | -12.2 |
| 4 | 93 | -244.9 |
| 5 | 79 | -124.1 |
| 6 | 600 | -562.5 |
| 7 | 69 | -111.9 |
| 8 | 135 | -48.2 |
| 9 | 68 | -91.1 |
| 10 | 94 | -110.1 |